Record 1
Material: Ca2PtBr
Method: DFT, PBE-GGA
State: optimized geometry

Calculated values
energy	-4.13	eV/atom
ρ	5.25	g cm⁻³
size of the total moment	0.000	μB/atom

Cell lengths 4.1321, 4.1321, 22.7809 Å; angles 90.00, 90.00, 120.00 degrees
Last column: nearest neighbours and their distance in Å.
Space group R3m (No. 160, hexagonal axes)
Unique sites:
Ca: 0.0000 0.0000 0.0000 [3 per cell]  3 Pt 2.86
Ca: 0.0000 0.0000 0.1958 [3 per cell]  3 Pt 2.85
Pt: 0.0000 0.0000 0.5977 [3 per cell]  6 Ca 2.85-2.86
Br: 0.0000 0.0000 0.4293 [3 per cell]  6 Ca 3.24-3.30

Record 2
Material: Y2HoP
Method: DFT, PBE-GGA
State: optimized geometry

Calculated values
ρ	5.32	g cm⁻³
size of the total moment	0.158	μB/atom
formation enthalpy at 0 K	-0.6907	eV/atom

Cell lengths 3.7983, 3.7983, 28.0327 Å; angles 90.00, 90.00, 120.00 degrees
Last column: nearest neighbours and their distance in Å.
Space group R-3m (No. 166, hexagonal axes)
Unique sites:
Y: 0.0000 0.0000 0.2254 [6 per cell]  3 P 2.74
Ho: 0.0000 0.0000 0.0000 [3 per cell]  6 Y 3.74, 6 Ho 3.80
P: 0.0000 0.0000 0.5000 [3 per cell]  6 Y 2.74

What did the first record say?
Material: Ca2PtBr
Method: DFT, PBE-GGA
State: optimized geometry

Calculated values
energy	-4.13	eV/atom
ρ	5.25	g cm⁻³
size of the total moment	0.000	μB/atom

Cell lengths 4.1321, 4.1321, 22.7809 Å; angles 90.00, 90.00, 120.00 degrees
Last column: nearest neighbours and their distance in Å.
Space group R3m (No. 160, hexagonal axes)
Unique sites:
Ca: 0.0000 0.0000 0.0000 [3 per cell]  3 Pt 2.86
Ca: 0.0000 0.0000 0.1958 [3 per cell]  3 Pt 2.85
Pt: 0.0000 0.0000 0.5977 [3 per cell]  6 Ca 2.85-2.86
Br: 0.0000 0.0000 0.4293 [3 per cell]  6 Ca 3.24-3.30

Among the records above, which one has the highest ρ? Y2HoP